First-principles (PBEsol) data for crystalline CuCSe2 at its relaxed geometry, as listed in Alexandria via LeMat-Bulk.

Unit cell a=3.2008 b=3.2008 c=21.5965 alpha=90.00 beta=90.00 gamma=120.00
Fractional positions:
Cu (0.0000, 0.0000, 0.0000)
Cu (0.3333, 0.6667, 0.6667)
Cu (0.6667, 0.3333, 0.3333)
C (0.0000, 0.0000, 0.5000)
C (0.3333, 0.6667, 0.1667)
C (0.6667, 0.3333, 0.8333)
Se (0.0000, 0.0000, 0.1049)
Se (0.0000, 0.0000, 0.8951)
Se (0.3333, 0.6667, 0.5617)
Se (0.3333, 0.6667, 0.7716)
Se (0.6667, 0.3333, 0.2284)
Se (0.6667, 0.3333, 0.4383)

* total moment: 0.00 μB/cell
* formation energy (no corrections): 112 kJ/mol of atoms
* crystal system: trigonal
* uncorrected energy: -51.06 eV per cell

***

First-principles (PBEsol) data for crystalline Ta2IrPt at its relaxed geometry, as listed in Alexandria via LeMat-Bulk.

Unit cell a=3.9800 b=3.9800 c=3.9608 alpha=90.00 beta=90.00 gamma=90.00
Fractional positions:
Ta (0.0000, 0.5000, 0.0000)
Ta (0.5000, 0.0000, 0.0000)
Ir (0.0000, 0.0000, 0.5000)
Pt (0.5000, 0.5000, 0.5000)

* total moment: 0.00 μB/cell
* energy relative to the elements: -0.6494 eV per atom
* crystal system: tetragonal
* uncorrected energy: -44.49 eV per cell

***

First-principles (PBEsol) data for crystalline Sb2IrRu at its relaxed geometry, as listed in Alexandria via LeMat-Bulk.

Unit cell a=3.3468 b=3.9441 c=5.4120 alpha=90.00 beta=90.00 gamma=90.00
Fractional positions:
Sb (0.0000, 0.0000, 0.0000)
Sb (0.5000, 0.5000, 0.3681)
Ir (0.0000, 0.0000, 0.5068)
Ru (0.5000, 0.5000, 0.8599)

* total moment: 0.00 μB/cell
* energy relative to the lowest polymorph listed for this composition: 0.0 meV per atom
* formation energy (no corrections): 4 kJ/mol of atoms
* crystal system: orthorhombic
* uncorrected energy: -28.96 eV per cell